! Li3Zn7Ni | Alexandria | PBE-GGA | optimized geometry; values from VASP
! Calculated volume ... 175.8 Å³/cell
! Spin magnetization ... 0.0 μB per cell
! Formation energy ... -43 meV/atom
&SYSTEM
  ibrav = 0, nat = 11, ntyp = 3
/
ATOMIC_SPECIES
Zn 65.41 Zn.upf
Li 6.94 Li.upf
Ni 58.69 Ni.upf
CELL_PARAMETERS angstrom
-1.426 2.778 3.478
-1.648 -6.425 0.870
6.186 -2.395 0.865
ATOMIC_POSITIONS angstrom
Zn 2.672 -5.190 3.322
Zn 2.973 -1.094 1.733
Zn 0.440 -0.852 1.892
Zn 2.269 -4.410 0.868
Zn 3.949 -2.989 3.477
Zn -0.837 -3.054 1.736
Zn 0.138 -4.948 3.480
Li -0.713 1.389 1.739
Li 4.603 -3.210 0.866
Li -0.065 -5.610 0.869
Ni 1.556 -3.021 2.607